This record from the Alexandria database describes crystalline BeCd2Pt at its relaxed geometry. The functional is PBE.

Calculated values
Total magnetization   0.000 μB/atom
D(E_F)   2.56 states/eV/cell
Calculated total energy   -2.713 eV/atom
ΔE_f   0.19 eV per atom

CIF file:
```
data_BeCd2Pt
_chemical_formula_sum 'Be1 Cd2 Pt1'
_cell_length_a 8.7884
_cell_length_b 8.7884
_cell_length_c 8.7884
_cell_angle_alpha 19.57
_cell_angle_beta 19.57
_cell_angle_gamma 19.57
_space_group_name_H-M_alt 'P 1'
_space_group_IT_number 1
_space_group_name_Hall 'P 1'
loop_
_atom_site_label
_atom_site_type_symbol
_atom_site_fract_x
_atom_site_fract_y
_atom_site_fract_z
_atom_site_occupancy
Be1 Be 0.0000 0.0000 0.0000 1
Cd1 Cd 0.2560 0.2560 0.2560 1
Cd2 Cd 0.7440 0.7440 0.7440 1
Pt1 Pt 0.5000 0.5000 0.5000 1
```